DFT (PBE) results for a relaxed Sc2SiGeAu2 crystal.

a b c (Å): 10.8028 4.4098 10.8038
angles (deg): 90.00 109.47 90.00
Fractional positions:
Sc1 0.0000 0.0000 0.0000
Sc2 0.1201 0.5000 0.3745
Sc3 0.2455 0.0000 0.7478
Sc4 0.3752 0.5000 0.1269
Sc5 0.4972 0.0000 0.5020
Sc6 0.6224 0.5000 0.8729
Sc7 0.7475 0.0000 0.2493
Sc8 0.8724 0.5000 0.6247
Si1 0.2482 0.0000 0.2501
Si2 0.6226 0.5000 0.3752
Si3 0.7474 0.0000 0.7492
Si4 0.9966 0.0000 0.4992
Ge1 0.1221 0.5000 0.8750
Ge2 0.3722 0.5000 0.6239
Ge3 0.4981 0.0000 0.0008
Ge4 0.8730 0.5000 0.1250
Au1 0.1279 0.5000 0.1295
Au2 0.2426 0.0000 0.4948
Au3 0.3721 0.5000 0.8746
Au4 0.4984 0.0000 0.2555
Au5 0.6265 0.5000 0.6242
Au6 0.7483 0.0000 0.9949
Au7 0.8713 0.5000 0.3783
Au8 0.9930 0.0000 0.7455

density	8.00	g cm⁻³
M_tot	0.008	μB/cell
symmetry	Pm (6)
E	-5.550	eV per atom